Model one:
Cu2Ag3 | GGA-PBE | relaxed

a = 11.6640 Å, b = 11.6640 Å, c = 4.7294 Å
α = 99.71°, β = 99.71°, γ = 14.22°
Closest atoms and distances in Å follow each position.
Fractional coordinates of all 10 atoms:
1 Cu 0.0548 0.0548 0.3448  2 Cu 2.56, 7 Ag 2.71-2.84
2 Cu 0.3570 0.3570 0.4483  2 Cu 2.56, 7 Ag 2.74-2.81
3 Cu 0.6430 0.6430 0.5517  2 Cu 2.56, 7 Ag 2.74-2.81
4 Cu 0.9452 0.9452 0.6552  2 Cu 2.56, 7 Ag 2.71-2.84
5 Ag 0.1485 0.1485 0.0649  5 Cu 2.73-2.81, 7 Ag 2.87-2.92
6 Ag 0.2425 0.2425 0.7402  2 Cu 2.74, 9 Ag 2.76-2.92
7 Ag 0.4557 0.4557 0.1780  7 Cu 2.71-2.84, 5 Ag 2.87-2.89
8 Ag 0.5443 0.5443 0.8220  7 Cu 2.71-2.84, 5 Ag 2.87-2.89
9 Ag 0.7575 0.7575 0.2598  2 Cu 2.74, 9 Ag 2.76-2.92
10 Ag 0.8515 0.8515 0.9351  5 Cu 2.73-2.81, 7 Ag 2.87-2.92

Calculated values
* space-group type: C2/m (12)



Model two:
Cu2Ag3 | GGA-PBE | relaxed

a = 11.5408 Å, b = 11.5408 Å, c = 4.7815 Å
α = 96.76°, β = 96.76°, γ = 14.27°
Closest atoms and distances in Å follow each position.
Fractional coordinates of all 10 atoms:
1 Cu 0.0484 0.0484 0.3489  8 Ag 2.72-2.79, 4 Cu 2.78-2.87
2 Cu 0.1473 0.1473 0.0490  9 Ag 2.74-2.93, 3 Cu 2.82-2.87
3 Cu 0.8527 0.8527 0.9510  9 Ag 2.74-2.93, 3 Cu 2.82-2.87
4 Cu 0.9516 0.9516 0.6511  8 Ag 2.72-2.79, 4 Cu 2.78-2.87
5 Ag 0.2526 0.2526 0.7545  9 Ag 2.77-2.91, 3 Cu 2.77-2.93
6 Ag 0.3542 0.3542 0.4586  6 Cu 2.72-2.82, 6 Ag 2.80-2.91
7 Ag 0.4507 0.4507 0.1491  8 Cu 2.73-2.79, 4 Ag 2.80-2.87
8 Ag 0.5493 0.5493 0.8509  8 Cu 2.73-2.79, 4 Ag 2.80-2.87
9 Ag 0.6458 0.6458 0.5414  6 Cu 2.72-2.82, 6 Ag 2.80-2.91
10 Ag 0.7474 0.7474 0.2455  9 Ag 2.77-2.91, 3 Cu 2.77-2.93

Calculated values
* space-group type: C2/m (12)



Model three:
Cu2Ag3 | GGA-PBE | relaxed

a = 6.0083 Å, b = 6.0083 Å, c = 9.3916 Å
α = 99.31°, β = 99.31°, γ = 27.57°
Closest atoms and distances in Å follow each position.
Fractional coordinates of all 10 atoms:
1 Cu 0.0507 0.0507 0.1534  8 Ag 2.70-2.71, 4 Cu 2.86-2.93
2 Cu 0.1565 0.1565 0.4592  4 Cu 2.62-2.86, 7 Ag 2.70-2.80
3 Cu 0.8435 0.8435 0.5408  4 Cu 2.62-2.86, 7 Ag 2.70-2.80
4 Cu 0.9493 0.9493 0.8466  8 Ag 2.70-2.71, 4 Cu 2.86-2.93
5 Ag 0.2574 0.2574 0.7428  5 Cu 2.70-2.73, 7 Ag 2.86-2.95
6 Ag 0.3593 0.3593 0.0469  4 Cu 2.70-2.71, 8 Ag 2.86-2.95
7 Ag 0.4593 0.4593 0.3517  6 Cu 2.70-2.80, 6 Ag 2.79-2.91
8 Ag 0.5407 0.5407 0.6483  6 Cu 2.70-2.80, 6 Ag 2.79-2.91
9 Ag 0.6407 0.6407 0.9531  4 Cu 2.70-2.71, 8 Ag 2.86-2.95
10 Ag 0.7426 0.7426 0.2572  5 Cu 2.70-2.73, 7 Ag 2.86-2.95

Calculated values
* space-group type: C2/m (12)



Computed relative energies in units of meV/atom: model one 8; model two 15; model three 0



Model one:
Cu2Ag3 | GGA-PBE | relaxed

a = 4.8638 Å, b = 4.8638 Å, c = 8.8770 Å
α = 90.10°, β = 90.10°, γ = 47.72°
Closest atoms and distances in Å follow each position.
Fractional coordinates of all 10 atoms:
1 Cu 0.1556 0.1556 0.4549  6 Cu 2.61-2.88, 6 Ag 2.68-2.87
2 Cu 0.2559 0.2559 0.7311  3 Cu 2.61-2.69, 8 Ag 2.75-2.90
3 Cu 0.7441 0.7441 0.2689  3 Cu 2.61-2.69, 8 Ag 2.75-2.90
4 Cu 0.8444 0.8444 0.5451  6 Cu 2.61-2.88, 6 Ag 2.68-2.87
5 Ag 0.0531 0.0531 0.1644  4 Cu 2.73-2.90, 7 Ag 2.80-2.89
6 Ag 0.3483 0.3483 0.0529  9 Ag 2.79-2.89, 3 Cu 2.90-2.97
7 Ag 0.4411 0.4411 0.3587  8 Cu 2.68-2.87, 4 Ag 2.72-2.84
8 Ag 0.5589 0.5589 0.6413  8 Cu 2.68-2.87, 4 Ag 2.72-2.84
9 Ag 0.6517 0.6517 0.9471  9 Ag 2.79-2.89, 3 Cu 2.90-2.97
10 Ag 0.9469 0.9469 0.8356  4 Cu 2.73-2.90, 7 Ag 2.80-2.89

Calculated values
* space-group type: C2/m (12)



Model two:
Cu2Ag3 | GGA-PBE | relaxed

a = 2.8744 Å, b = 2.8744 Å, c = 18.7064 Å
α = 90.00°, β = 90.00°, γ = 90.00°
Closest atoms and distances in Å follow each position.
Fractional coordinates of all 10 atoms:
1 Cu 0.0000 0.0000 0.0000  4 Cu 2.51, 4 Ag 2.74
2 Cu 0.0000 0.0000 0.1571  4 Cu 2.51, 4 Ag 2.73
3 Cu 0.5000 0.5000 0.0786  8 Cu 2.51
4 Cu 0.5000 0.5000 0.6905  8 Ag 2.72, 4 Cu 2.87
5 Ag 0.0000 0.0000 0.3685  12 Ag 2.87-2.94
6 Ag 0.0000 0.0000 0.5942  4 Cu 2.72, 8 Ag 2.87-2.93
7 Ag 0.0000 0.0000 0.7870  4 Cu 2.72, 8 Ag 2.87-2.96
8 Ag 0.5000 0.5000 0.2548  4 Cu 2.73, 8 Ag 2.87-2.94
9 Ag 0.5000 0.5000 0.4813  12 Ag 2.87-2.93
10 Ag 0.5000 0.5000 0.9019  4 Cu 2.74, 8 Ag 2.87-2.96

Calculated values
* space-group type: P4mm (99)



Computed relative energies in units of meV/atom: model one 37; model two 0



Model one:
Cu2Ag3 | GGA-PBE | relaxed

a = 7.5665 Å, b = 7.5665 Å, c = 5.7179 Å
α = 101.44°, β = 101.44°, γ = 29.14°
Closest atoms and distances in Å follow each position.
Fractional coordinates of all 10 atoms:
1 Cu 0.0000 0.0000 0.0000  3 Cu 2.70-2.73, 8 Ag 2.70-2.99
2 Cu 0.0056 0.0056 0.5318  4 Cu 2.61-2.70, 6 Ag 2.72-2.86
3 Cu 0.1876 0.1876 0.6110  3 Cu 2.61-2.70, 7 Ag 2.72-2.85
4 Cu 0.5936 0.5936 0.7986  6 Cu 2.61-2.73, 5 Ag 2.69-2.84
5 Ag 0.1881 0.1881 0.0936  5 Cu 2.70-2.96, 6 Ag 2.81-2.85
6 Ag 0.4022 0.4022 0.2099  7 Ag 2.73-2.88, 4 Cu 2.80-2.86
7 Ag 0.4059 0.4059 0.7124  5 Cu 2.69-2.73, 6 Ag 2.85-2.87
8 Ag 0.5930 0.5930 0.3165  8 Cu 2.72-2.96, 4 Ag 2.73-2.89
9 Ag 0.7915 0.7915 0.8941  4 Cu 2.75-2.99, 8 Ag 2.78-2.94
10 Ag 0.7943 0.7943 0.4092  9 Ag 2.78-2.94, 3 Cu 2.85-3.03

Calculated values
* space-group type: Cm (8)



Model two:
Cu2Ag3 | GGA-PBE | relaxed

a = 4.8784 Å, b = 4.8784 Å, c = 11.8523 Å
α = 99.18°, β = 99.18°, γ = 34.00°
Closest atoms and distances in Å follow each position.
Fractional coordinates of all 10 atoms:
1 Cu 0.0000 0.0000 0.0000  10 Ag 2.77-2.86, 2 Cu 2.85
2 Cu 0.1864 0.1864 0.4176  4 Cu 2.55-2.57, 2 Ag 2.75
3 Cu 0.5000 0.5000 0.5000  6 Cu 2.57-2.85, 4 Ag 2.64
4 Cu 0.8136 0.8136 0.5824  4 Cu 2.55-2.57, 2 Ag 2.75
5 Ag 0.1143 0.1143 0.6802  5 Cu 2.64-2.85, 7 Ag 2.83-2.95
6 Ag 0.3008 0.3008 0.1014  3 Cu 2.77-2.86, 9 Ag 2.81-2.95
7 Ag 0.4073 0.4073 0.7912  8 Ag 2.81-2.89, 4 Cu 2.86
8 Ag 0.5927 0.5927 0.2088  8 Ag 2.81-2.89, 4 Cu 2.86
9 Ag 0.6992 0.6992 0.8986  3 Cu 2.77-2.86, 9 Ag 2.81-2.95
10 Ag 0.8857 0.8857 0.3198  5 Cu 2.64-2.85, 7 Ag 2.83-2.95

Calculated values
* space-group type: C2/m (12)



Computed relative energies in units of meV/atom: model one 6; model two 0



Model one:
Cu2Ag3 | GGA-PBE | relaxed

a = 9.5348 Å, b = 9.5348 Å, c = 5.8252 Å
α = 98.75°, β = 98.75°, γ = 17.24°
Closest atoms and distances in Å follow each position.
Fractional coordinates of all 10 atoms:
1 Cu 0.9996 0.9996 0.2130  5 Cu 2.48-2.54, 4 Ag 2.69
2 Cu 0.0004 0.0004 0.7870  5 Cu 2.48-2.54, 4 Ag 2.69
3 Cu 0.4091 0.4091 0.9535  4 Cu 2.54, 4 Ag 2.77-2.78
4 Cu 0.5909 0.5909 0.0465  4 Cu 2.54, 4 Ag 2.77-2.78
5 Ag 0.1922 0.1922 0.8502  2 Cu 2.77, 10 Ag 2.86-2.96
6 Ag 0.1937 0.1937 0.3432  2 Cu 2.78, 10 Ag 2.86-2.96
7 Ag 0.4165 0.4165 0.4595  6 Cu 2.69-2.93, 6 Ag 2.86-2.90
8 Ag 0.5835 0.5835 0.5405  6 Cu 2.69-2.93, 6 Ag 2.86-2.90
9 Ag 0.8063 0.8063 0.6568  2 Cu 2.78, 10 Ag 2.86-2.96
10 Ag 0.8078 0.8078 0.1498  2 Cu 2.77, 10 Ag 2.86-2.96

Calculated values
* space-group type: C2/m (12)



Model two:
Cu2Ag3 | GGA-PBE | relaxed

a = 4.9186 Å, b = 5.7048 Å, c = 6.0611 Å
α = 76.37°, β = 76.89°, γ = 73.23°
Closest atoms and distances in Å follow each position.
Fractional coordinates of all 10 atoms:
1 Cu 0.0000 0.0000 0.0000  3 Cu 2.62-2.63, 7 Ag 2.70-2.84
2 Cu 0.0037 0.4622 0.9922  3 Cu 2.63-2.64, 7 Ag 2.69-2.79
3 Cu 0.6427 0.3671 0.7816  3 Cu 2.62-2.73, 7 Ag 2.73-2.80
4 Cu 0.8206 0.1835 0.3804  3 Cu 2.62-2.73, 9 Ag 2.76-2.94
5 Ag 0.2185 0.2731 0.6031  6 Cu 2.69-2.91, 6 Ag 2.80-2.93
6 Ag 0.2310 0.7655 0.6092  4 Cu 2.75-2.94, 8 Ag 2.76-2.98
7 Ag 0.4057 0.0862 0.1834  6 Cu 2.70-2.82, 6 Ag 2.79-2.92
8 Ag 0.4139 0.5765 0.1661  5 Cu 2.73-2.82, 7 Ag 2.79-2.98
9 Ag 0.6488 0.8812 0.7845  5 Cu 2.70-2.95, 6 Ag 2.76-2.85
10 Ag 0.8246 0.6750 0.3750  5 Cu 2.72-2.90, 7 Ag 2.84-2.92

Calculated values
* space-group type: P1 (1)



Computed relative energies in units of meV/atom: model one 0; model two 32